## 1
Compound: Ho3Co2Ge3
Source: Alexandria via LeMat-Bulk
Functional: PBE-GGA
Structure: relaxed

Unit cell a=4.161 b=5.590 c=13.960 alpha=90.00 beta=90.00 gamma=111.85
Element x y z (fractional)
Ho  0.918  0.836  0.391
Ho  0.082  0.164  0.891
Ho  0.918  0.836  0.109
Ho  0.082  0.164  0.609
Ho  0.641  0.281  0.250
Ho  0.359  0.719  0.750
Co  0.794  0.587  0.902
Co  0.206  0.413  0.402
Co  0.794  0.587  0.598
Co  0.206  0.413  0.098
Ge  0.630  0.260  0.461
Ge  0.370  0.740  0.961
Ge  0.630  0.260  0.039
Ge  0.370  0.740  0.539
Ge  0.338  0.676  0.250
Ge  0.662  0.324  0.750

Output
Crystal system   orthorhombic
Magnetization   0.0 μB/f.u.
Volume   18.835 Å³ per atom

=====

## 2
Compound: Ho3Co2Ge3
Source: Alexandria via LeMat-Bulk
Functional: PBE-GGA
Structure: relaxed

Unit cell a=5.601 b=7.805 c=13.884 alpha=90.00 beta=90.00 gamma=90.00
Element x y z (fractional)
Ho  0.126  0.459  0.389
Ho  0.626  0.041  0.611
Ho  0.874  0.541  0.889
Ho  0.374  0.959  0.111
Ho  0.874  0.541  0.611
Ho  0.374  0.959  0.389
Ho  0.126  0.459  0.111
Ho  0.626  0.041  0.889
Ho  0.633  0.315  0.250
Ho  0.133  0.185  0.750
Ho  0.367  0.685  0.750
Ho  0.867  0.815  0.250
Co  0.890  0.086  0.407
Co  0.390  0.414  0.593
Co  0.110  0.914  0.907
Co  0.610  0.586  0.093
Co  0.110  0.914  0.593
Co  0.610  0.586  0.407
Co  0.890  0.086  0.093
Co  0.390  0.414  0.907
Ge  0.102  0.164  0.250
Ge  0.602  0.336  0.750
Ge  0.898  0.836  0.750
Ge  0.398  0.664  0.250
Ge  0.631  0.304  0.459
Ge  0.131  0.196  0.541
Ge  0.369  0.696  0.959
Ge  0.869  0.804  0.041
Ge  0.369  0.696  0.541
Ge  0.869  0.804  0.459
Ge  0.631  0.304  0.041
Ge  0.131  0.196  0.959

Output
Crystal system   orthorhombic
Magnetization   0.0 μB/f.u.
Volume   18.968 Å³ per atom

=====

1 is favored, and the nearest alternative lies 16 meV/atom above it.

=====

## 1
Compound: CoGeI2
Source: Alexandria via LeMat-Bulk
Functional: PBE-GGA
Structure: relaxed

Unit cell a=5.142 b=5.142 c=5.142 alpha=60.00 beta=60.00 gamma=60.00
Element x y z (fractional)
I  0.250  0.250  0.250
I  0.750  0.750  0.750
Ge  0.500  0.500  0.500
Co  0.000  0.000  0.000

Output
Crystal system   cubic
Magnetization   1.5 μB/f.u.
Volume   24.035 Å³ per atom

=====

## 2
Compound: CoGeI2
Source: Alexandria via LeMat-Bulk
Functional: PBE-GGA
Structure: relaxed

Unit cell a=6.987 b=6.987 c=7.056 alpha=60.32 beta=60.32 gamma=90.00
Element x y z (fractional)
I  0.565  0.125  0.250
I  0.185  0.625  0.250
I  0.375  0.435  0.750
I  0.875  0.815  0.750
Ge  0.000  0.000  0.000
Ge  0.750  0.250  0.500
Co  0.500  0.500  0.000
Co  0.250  0.750  0.500

Output
Crystal system   tetragonal
Magnetization   1.0 μB/f.u.
Volume   30.745 Å³ per atom

=====

2 is favored, and the nearest alternative lies 256 meV/atom above it.